Compound: Tl6CdHg12
Source: Alexandria
Functional: PBE-GGA
Structure: optimized geometry

Cell and atoms, written as extended XYZ:
```
19
Lattice="8.262 0.203 0.243 -1.052 8.197 0.243 -1.052 -1.226 8.108" Properties=species:S:1:pos:R:3 pbc="T T T"
Tl 4.529 6.815 2.443
Tl 5.672 2.517 1.452
Tl 0.108 5.755 2.736
Tl 1.628 0.359 6.151
Tl 0.485 4.657 7.142
Tl 6.050 1.419 5.858
Cd 0.000 0.000 0.000
Hg 5.455 4.158 4.281
Hg 2.602 5.918 4.856
Hg 3.283 3.136 6.691
Hg 0.702 3.016 4.313
Hg 3.555 1.256 3.738
Hg 2.875 4.038 1.903
Hg -0.358 0.555 2.950
Hg 5.555 4.223 8.332
Hg 3.332 7.102 7.521
Hg 6.515 6.619 5.644
Hg 0.603 2.951 0.262
Hg 2.825 0.072 1.073
```

Summary:
DFT total energy, eV per atom: -0.976
Formation energy, meV per atom: 10